The following is a DFT calculation (GGA-PBE) of a relaxed CaBeAg2 crystal.

E_form ... 118.2 meV per atom
Magnetization ... 0.00 μB/f.u.

a = 5.194 Å, b = 5.194 Å, c = 5.194 Å
α = 135.80°, β = 125.17°, γ = 72.97°
Positions (direct):
Be1 0.542 0.542 0.000
Ca1 0.267 0.767 0.500
Ag1 0.984 0.984 0.000
Ag2 0.707 0.207 0.500